1.
6
Lattice="-5.826 1.619 0.058 4.752 -2.809 -2.469 -0.880 -3.237 1.989" Properties=species:S:1:pos:R:3 comment="PBE Fe5P, optimized geometry" de_polymorph_mev_per_atom=4.0 pbc="T T T"
P -0.977 -2.213 -0.211
Fe -2.303 0.144 -0.784
Fe 1.229 -1.334 -1.627
Fe 0.000 0.000 0.000
Fe 2.594 -3.708 -1.064
Fe -4.547 -0.719 0.642

2.
20
Lattice="-6.609 3.720 -1.169 -3.307 -0.136 -6.923 -9.475 -8.778 0.446" Properties=species:S:1:pos:R:3 comment="PBE La6CoIrPb2, optimized geometry" energy_ev_per_atom=-5.789 pbc="T T T"
Pb -12.189 -0.091 -6.933
La -10.798 -0.067 -3.346
Ir -11.136 -4.925 -3.089
Pb -7.202 -5.103 -0.712
La -8.592 -5.127 -4.300
La -7.174 -2.107 -2.705
Co -9.695 -2.597 -3.823
La -9.074 1.711 -6.353
La -12.216 -3.087 -4.941
Pb -15.326 -5.161 -5.335
Co 0.000 0.000 0.000
La -7.403 1.779 -2.855
La -11.988 -6.973 -4.791
La -8.988 -2.182 -6.501
La -10.316 -6.905 -1.292
La -10.403 -3.012 -1.144
Ir -8.255 -0.269 -4.557
La -5.734 -0.170 -5.763
La -13.656 -5.024 -1.883
Pb -4.064 -0.033 -2.310

3.
28
Lattice="-2.570 -5.285 1.788 7.078 -4.073 -1.864 4.772 2.192 13.334" Properties=species:S:1:pos:R:3 comment="PBE Sr3Zn2Cu2, optimized geometry" energy_ev_per_atom=-2.389 pbc="T T T"
Cu 1.396 -2.093 8.867
Cu 3.736 -4.287 5.747
Sr 3.412 -4.854 8.828
Zn 7.189 -4.048 1.943
Sr 8.832 -3.023 6.588
Sr 5.868 -2.312 4.430
Zn 3.172 -1.946 6.886
Sr 4.920 -5.896 3.059
Zn 2.092 -3.117 11.315
Cu 2.964 -1.374 13.246
Cu 2.169 -5.007 1.368
Sr 4.361 -1.270 10.199
Sr 4.443 -2.966 0.448
Cu 5.544 -2.878 7.512
Cu 7.111 -2.159 11.890
Sr 10.257 -2.368 10.570
Zn 7.329 -1.660 9.201
Sr 4.837 -4.199 12.810
Sr 7.203 -4.740 9.753
Zn 6.109 -5.220 6.373
Sr 0.449 -4.143 6.671
Cu 7.884 -5.072 4.391
Zn 0.786 -3.042 0.219
Sr 2.078 -2.425 3.505
Zn 1.951 -5.505 4.057
Cu 6.317 -5.792 0.013
Zn 3.723 -6.316 -0.294
Sr -0.976 -4.797 2.689